Record 1
The following is a DFT calculation (PBE-GGA) of crystalline Be2InCo at its relaxed geometry.

DOS at the Fermi energy   1.39 states/eV per cell
Formation energy from the elements   0.3 eV/f.u.
Symmetry   P4/mmm (123)

Unit cell a=2.889 b=2.889 c=5.835 alpha=90.00 beta=90.00 gamma=90.00
Site moments in Bohr magnetons follow the coordinates.
Positions (direct):
Be: 0.000 0.000 0.073  -0.01
Be: 0.000 0.000 0.427  -0.01
Co: 0.500 0.500 0.250  0.43
In: 0.500 0.500 0.750  0.00

***

Record 2
The following is a DFT calculation (PBE-GGA) of crystalline Be2InCo at its relaxed geometry.

DOS at the Fermi energy   1.61 states/eV per cell
Formation energy from the elements   0.7 eV/f.u.
Symmetry   I-4m2 (119)

Unit cell a=4.562 b=4.562 c=4.562 alpha=134.22 beta=134.22 gamma=66.75
Positions (direct):
Be: 0.000 0.000 0.000
Be: 0.250 0.750 0.500
Co: 0.500 0.500 0.000
In: 0.750 0.250 0.500

***

Record 3
The following is a DFT calculation (PBE-GGA) of crystalline Be4InCo2 at its relaxed geometry.

DOS at the Fermi energy   6.51 states/eV per cell
Formation energy from the elements   8.2 eV/f.u.
Symmetry   I4/mmm (139)

Unit cell a=4.289 b=4.289 c=6.506 alpha=70.75 beta=70.75 gamma=90.00
Site moments in Bohr magnetons follow the coordinates.
Positions (direct):
Be: 0.786 0.786 0.427  -0.03
Be: 0.214 0.214 0.573  -0.03
Be: 0.000 0.500 0.000  -0.02
Be: 0.500 0.000 0.000  -0.02
Co: 0.598 0.598 0.804  1.28
Co: 0.402 0.402 0.196  1.28
In: 0.000 0.000 0.000  0.04